1.
# Na2Sr6PdN (PBE, optimized geometry)
# ΔE_f (raw) = -0.263 eV/atom
# calculated density = 3.0 g/cm3
# space-group type = No. 139
data_Na2Sr6PdN
_chemical_formula_sum 'Na2 Sr6 Pd1 N1'
_symmetry_space_group_name_H-M 'P 1'
_symmetry_Int_Tables_number 1
_symmetry_space_group_name_Hall 'P 1'
_cell_length_a 8.1290
_cell_length_b 8.1290
_cell_length_c 8.1290
_cell_angle_alpha 119.97
_cell_angle_beta 119.97
_cell_angle_gamma 90.06
loop_
_atom_site_label
_atom_site_type_symbol
_atom_site_fract_x
_atom_site_fract_y
_atom_site_fract_z
Na1 Na 0.2500 0.7500 0.5000
Na2 Na 0.7500 0.2500 0.5000
Sr1 Sr 0.2344 0.2344 0.0000
Sr2 Sr 0.2346 0.2346 0.4692
Sr3 Sr 0.2346 0.7654 0.0000
Sr4 Sr 0.7654 0.2346 0.0000
Sr5 Sr 0.7654 0.7654 0.5308
Sr6 Sr 0.7656 0.7656 0.0000
Pd1 Pd 0.5000 0.5000 0.0000
N1 N 0.0000 0.0000 0.0000

---

2.
# NaTc2PdN (PBE, optimized geometry)
# ΔE_f (raw) = 1.849 eV/atom
# calculated density = 5.4 g/cm3
# space-group type = No. 123
data_NaTc2PdN
_chemical_formula_sum 'Na1 Tc2 Pd1 N1'
_symmetry_space_group_name_H-M 'P 1'
_symmetry_Int_Tables_number 1
_symmetry_space_group_name_Hall 'P 1'
_cell_length_a 5.2948
_cell_length_b 5.2948
_cell_length_c 3.7088
_cell_angle_alpha 90.00
_cell_angle_beta 90.00
_cell_angle_gamma 90.00
loop_
_atom_site_label
_atom_site_type_symbol
_atom_site_fract_x
_atom_site_fract_y
_atom_site_fract_z
Na1 Na 0.0000 0.0000 0.0000
Tc1 Tc 0.0000 0.5000 0.5000
Tc2 Tc 0.5000 0.0000 0.5000
Pd1 Pd 0.5000 0.5000 0.5000
N1 N 0.5000 0.5000 0.0000

---

3.
# NaTiPd2N (PBE, optimized geometry)
# ΔE_f (raw) = 1.461 eV/atom
# calculated density = 5.8 g/cm3
# space-group type = No. 123
data_NaTiPd2N
_chemical_formula_sum 'Na1 Ti1 Pd2 N1'
_symmetry_space_group_name_H-M 'P 1'
_symmetry_Int_Tables_number 1
_symmetry_space_group_name_Hall 'P 1'
_cell_length_a 4.5770
_cell_length_b 4.5770
_cell_length_c 4.0398
_cell_angle_alpha 90.00
_cell_angle_beta 90.00
_cell_angle_gamma 90.00
loop_
_atom_site_label
_atom_site_type_symbol
_atom_site_fract_x
_atom_site_fract_y
_atom_site_fract_z
Na1 Na 0.0000 0.0000 0.0000
Ti1 Ti 0.5000 0.5000 0.5000
Pd1 Pd 0.0000 0.5000 0.0000
Pd2 Pd 0.5000 0.0000 0.0000
N1 N 0.0000 0.0000 0.5000

---

4.
# NaY2PdN (PBE, optimized geometry)
# ΔE_f (raw) = -0.670 eV/atom
# calculated density = 5.2 g/cm3
# space-group type = No. 123
data_NaY2PdN
_chemical_formula_sum 'Na1 Y2 Pd1 N1'
_symmetry_space_group_name_H-M 'P 1'
_symmetry_Int_Tables_number 1
_symmetry_space_group_name_Hall 'P 1'
_cell_length_a 4.7308
_cell_length_b 4.7308
_cell_length_c 4.5522
_cell_angle_alpha 90.00
_cell_angle_beta 90.00
_cell_angle_gamma 90.00
loop_
_atom_site_label
_atom_site_type_symbol
_atom_site_fract_x
_atom_site_fract_y
_atom_site_fract_z
Na1 Na 0.0000 0.0000 0.0000
Y1 Y 0.0000 0.5000 0.5000
Y2 Y 0.5000 0.0000 0.5000
Pd1 Pd 0.5000 0.5000 0.0000
N1 N 0.0000 0.0000 0.5000

---

5.
# NaPm2N (PBE, optimized geometry)
# ΔE_f (raw) = -0.631 eV/atom
# calculated density = 5.0 g/cm3
# space-group type = No. 166
data_NaPm2N
_chemical_formula_sum 'Na1 Pm2 N1'
_symmetry_space_group_name_H-M 'P 1'
_symmetry_Int_Tables_number 1
_symmetry_space_group_name_Hall 'P 1'
_cell_length_a 9.8368
_cell_length_b 9.8368
_cell_length_c 9.8368
_cell_angle_alpha 21.06
_cell_angle_beta 21.06
_cell_angle_gamma 21.06
loop_
_atom_site_label
_atom_site_type_symbol
_atom_site_fract_x
_atom_site_fract_y
_atom_site_fract_z
Na1 Na 0.0000 0.0000 0.0000
Pm1 Pm 0.2139 0.2139 0.2139
Pm2 Pm 0.7861 0.7861 0.7861
N1 N 0.5000 0.5000 0.5000

---

6.
# NaPmN (PBE, optimized geometry)
# ΔE_f (raw) = -0.506 eV/atom
# calculated density = 4.2 g/cm3
# space-group type = No. 63
data_NaPmN
_chemical_formula_sum 'Na2 Pm2 N2'
_symmetry_space_group_name_H-M 'P 1'
_symmetry_Int_Tables_number 1
_symmetry_space_group_name_Hall 'P 1'
_cell_length_a 12.8054
_cell_length_b 12.8054
_cell_length_c 3.3041
_cell_angle_alpha 90.00
_cell_angle_beta 90.00
_cell_angle_gamma 164.71
loop_
_atom_site_label
_atom_site_type_symbol
_atom_site_fract_x
_atom_site_fract_y
_atom_site_fract_z
Na1 Na 0.1894 0.8106 0.7500
Na2 Na 0.8106 0.1894 0.2500
Pm1 Pm 0.4210 0.5790 0.2500
Pm2 Pm 0.5790 0.4210 0.7500
N1 N 0.1019 0.8981 0.2500
N2 N 0.8981 0.1019 0.7500

---

7.
# NaPm3N (PBE, optimized geometry)
# ΔE_f (raw) = -0.357 eV/atom
# calculated density = 5.9 g/cm3
# space-group type = No. 221
data_NaPm3N
_chemical_formula_sum 'Na1 Pm3 N1'
_symmetry_space_group_name_H-M 'P 1'
_symmetry_Int_Tables_number 1
_symmetry_space_group_name_Hall 'P 1'
_cell_length_a 5.0979
_cell_length_b 5.0979
_cell_length_c 5.0979
_cell_angle_alpha 90.00
_cell_angle_beta 90.00
_cell_angle_gamma 90.00
loop_
_atom_site_label
_atom_site_type_symbol
_atom_site_fract_x
_atom_site_fract_y
_atom_site_fract_z
Na1 Na 0.0000 0.0000 0.0000
Pm1 Pm 0.0000 0.5000 0.5000
Pm2 Pm 0.5000 0.0000 0.5000
Pm3 Pm 0.5000 0.5000 0.0000
N1 N 0.5000 0.5000 0.5000

---

8.
# NaPmRe2N6 (PBE, optimized geometry)
# ΔE_f (raw) = -0.377 eV/atom
# calculated density = 6.5 g/cm3
# space-group type = No. 15
data_NaPmRe2N6
_chemical_formula_sum 'Na2 Pm2 Re4 N12'
_symmetry_space_group_name_H-M 'P 1'
_symmetry_Int_Tables_number 1
_symmetry_space_group_name_Hall 'P 1'
_cell_length_a 7.3873
_cell_length_b 7.3873
_cell_length_c 6.2197
_cell_angle_alpha 103.91
_cell_angle_beta 103.91
_cell_angle_gamma 82.70
loop_
_atom_site_label
_atom_site_type_symbol
_atom_site_fract_x
_atom_site_fract_y
_atom_site_fract_z
Na1 Na 0.0747 0.9253 0.7500
Na2 Na 0.9253 0.0747 0.2500
Pm1 Pm 0.3062 0.6938 0.2500
Pm2 Pm 0.6938 0.3062 0.7500
Re1 Re 0.1987 0.3866 0.7627
Re2 Re 0.3866 0.1987 0.2627
Re3 Re 0.6134 0.8013 0.7373
Re4 Re 0.8013 0.6134 0.2373
N1 N 0.0006 0.2527 0.6712
N2 N 0.1263 0.6229 0.8465
N3 N 0.2527 0.0006 0.1712
N4 N 0.3445 0.3600 0.5350
N5 N 0.3600 0.3445 0.0350
N6 N 0.3771 0.8737 0.6535
N7 N 0.6229 0.1263 0.3465
N8 N 0.6400 0.6555 0.9650
N9 N 0.6555 0.6400 0.4650
N10 N 0.7473 0.9994 0.8288
N11 N 0.8737 0.3771 0.1535
N12 N 0.9994 0.7473 0.3288

---

9.
# Na2PmReN4 (PBE, optimized geometry)
# ΔE_f (raw) = -0.550 eV/atom
# calculated density = 5.7 g/cm3
# space-group type = No. 5
data_Na2PmReN4
_chemical_formula_sum 'Na4 Pm2 Re2 N8'
_symmetry_space_group_name_H-M 'P 1'
_symmetry_Int_Tables_number 1
_symmetry_space_group_name_Hall 'P 1'
_cell_length_a 6.9328
_cell_length_b 6.9328
_cell_length_c 7.1705
_cell_angle_alpha 121.04
_cell_angle_beta 121.04
_cell_angle_gamma 68.43
loop_
_atom_site_label
_atom_site_type_symbol
_atom_site_fract_x
_atom_site_fract_y
_atom_site_fract_z
Na1 Na 0.0000 0.0000 0.0000
Na2 Na 0.4827 0.0235 0.0441
Na3 Na 0.9575 0.0425 0.5000
Na4 Na 0.9765 0.5173 0.9559
Pm1 Pm 0.4569 0.5431 0.0000
Pm2 Pm 0.4970 0.5030 0.5000
Re1 Re 0.4780 0.0230 0.6161
Re2 Re 0.9770 0.5220 0.3839
N1 N 0.1616 0.3362 0.2280
N2 N 0.1836 0.6802 0.6899
N3 N 0.2922 0.2066 0.7711
N4 N 0.3198 0.8164 0.3101
N5 N 0.6365 0.2301 0.6750
N6 N 0.6638 0.8384 0.7720
N7 N 0.7699 0.3635 0.3250
N8 N 0.7934 0.7078 0.2289

---

10.
# Na2PmRe2N6 (PBE, optimized geometry)
# ΔE_f (raw) = -0.222 eV/atom
# calculated density = 5.5 g/cm3
# space-group type = No. 12
data_Na2PmRe2N6
_chemical_formula_sum 'Na2 Pm1 Re2 N6'
_symmetry_space_group_name_H-M 'P 1'
_symmetry_Int_Tables_number 1
_symmetry_space_group_name_Hall 'P 1'
_cell_length_a 6.0905
_cell_length_b 6.0905
_cell_length_c 7.1110
_cell_angle_alpha 118.13
_cell_angle_beta 118.13
_cell_angle_gamma 62.14
loop_
_atom_site_label
_atom_site_type_symbol
_atom_site_fract_x
_atom_site_fract_y
_atom_site_fract_z
Na1 Na 0.2067 0.2067 0.1586
Na2 Na 0.7933 0.7933 0.8414
Pm1 Pm 0.0000 0.0000 0.5000
Re1 Re 0.4714 0.4714 0.7915
Re2 Re 0.5286 0.5286 0.2085
N1 N 0.1977 0.6710 0.2118
N2 N 0.2675 0.2675 0.5965
N3 N 0.3290 0.8023 0.7882
N4 N 0.6710 0.1977 0.2118
N5 N 0.7325 0.7325 0.4035
N6 N 0.8023 0.3290 0.7882

---

11.
# NaPmTa4N8 (PBE, optimized geometry)
# ΔE_f (raw) = -0.934 eV/atom
# calculated density = 8.8 g/cm3
# space-group type = No. 160
data_NaPmTa4N8
_chemical_formula_sum 'Na1 Pm1 Ta4 N8'
_symmetry_space_group_name_H-M 'P 1'
_symmetry_Int_Tables_number 1
_symmetry_space_group_name_Hall 'P 1'
_cell_length_a 6.5351
_cell_length_b 6.5351
_cell_length_c 6.5351
_cell_angle_alpha 58.15
_cell_angle_beta 58.15
_cell_angle_gamma 58.15
loop_
_atom_site_label
_atom_site_type_symbol
_atom_site_fract_x
_atom_site_fract_y
_atom_site_fract_z
Na1 Na 0.0000 0.0000 0.0000
Pm1 Pm 0.3801 0.3801 0.3801
Ta1 Ta 0.0067 0.0067 0.4888
Ta2 Ta 0.0067 0.4888 0.0067
Ta3 Ta 0.4888 0.0067 0.0067
Ta4 Ta 0.6259 0.6259 0.6259
N1 N 0.2380 0.2380 0.2380
N2 N 0.2527 0.2527 0.8105
N3 N 0.2527 0.8105 0.2527
N4 N 0.2540 0.7391 0.7391
N5 N 0.7391 0.2540 0.7391
N6 N 0.7391 0.7391 0.2540
N7 N 0.7628 0.7628 0.7628
N8 N 0.8105 0.2527 0.2527

---

12.
# Na2PmTcN4 (PBE, optimized geometry)
# ΔE_f (raw) = -0.486 eV/atom
# calculated density = 4.3 g/cm3
# space-group type = No. 31
data_Na2PmTcN4
_chemical_formula_sum 'Na4 Pm2 Tc2 N8'
_symmetry_space_group_name_H-M 'P 1'
_symmetry_Int_Tables_number 1
_symmetry_space_group_name_Hall 'P 1'
_cell_length_a 7.0629
_cell_length_b 6.8027
_cell_length_c 5.6058
_cell_angle_alpha 90.00
_cell_angle_beta 90.00
_cell_angle_gamma 90.00
loop_
_atom_site_label
_atom_site_type_symbol
_atom_site_fract_x
_atom_site_fract_y
_atom_site_fract_z
Na1 Na 0.2434 0.1484 0.0000
Na2 Na 0.2566 0.8516 0.5000
Na3 Na 0.7434 0.8516 0.5000
Na4 Na 0.7566 0.1484 0.0000
Pm1 Pm 0.0000 0.3729 0.5014
Pm2 Pm 0.5000 0.6271 0.0014
Tc1 Tc 0.0000 0.6759 0.0223
Tc2 Tc 0.5000 0.3241 0.5223
N1 N 0.0000 0.4157 0.9324
N2 N 0.0000 0.6789 0.3447
N3 N 0.2170 0.8000 0.9241
N4 N 0.2830 0.2000 0.4241
N5 N 0.5000 0.3211 0.8447
N6 N 0.5000 0.5843 0.4324
N7 N 0.7170 0.2000 0.4241
N8 N 0.7830 0.8000 0.9241

---

- Which of these has the highest calculated density?
  NaPmTa4N8